Below is NbCoOsO6 after structural relaxation, with properties calculated at the PBE+U level.

Calculated values
As for the spin magnetization: 0.03 μB/cell. The total energy comes out at -7.743 eV/atom.

The structure in POSCAR format:
```
NbCoOsO6
1.0
5.126 0.000 0.000
-2.563 4.439 0.000
0.000 0.000 9.110
Nb Co Os O
2 2 2 12
Cartesian
0.000 2.959 2.278
2.563 1.480 6.833
0.000 0.000 0.000
0.000 0.000 4.555
0.000 2.959 6.833
2.563 1.480 2.278
-0.858 1.534 5.743
-1.664 2.929 7.922
0.858 1.534 7.922
-0.806 4.416 5.743
1.757 0.024 1.188
0.899 1.510 3.367
1.664 2.929 5.743
0.806 4.416 7.922
3.368 0.024 3.367
1.705 2.905 1.188
4.227 1.510 1.188
3.421 2.905 3.367
```